Record 1
A geometry-optimized CuSbTe structure, computed with GGA-PBEsol.

## Properties
The value obtained for the energy is -0.1523 Ha/atom. The value obtained for the uncorrected formation energy is -0.4 kJ/mol of atoms.

Geometry as POSCAR:
```
CuSbTe
1.0
3.933 0.000 0.000
-1.967 3.406 0.000
0.000 0.000 4.988
Cu Te Sb
1 1 1
Cartesian
0.000 0.000 0.005 Cu
0.000 2.271 1.367 Te
1.967 1.135 3.616 Sb
```


Record 2
A geometry-optimized Sc2PtAu structure, computed with GGA-PBEsol.

## Properties
The value obtained for the energy is -0.2587 Ha/atom. The value obtained for the energy of formation from the pure elements is -4.1 eV per formula unit.

Geometry as POSCAR:
```
Sc2PtAu
1.0
-0.323 -2.857 -1.561
2.911 -0.956 1.147
-3.003 -2.628 5.431
Pt Au Sc
1 1 2
Cartesian
-0.207 -3.221 2.508 Pt
1.294 -1.907 -0.207 Au
-2.223 -1.946 4.020 Sc
-0.780 -0.683 1.411 Sc
```


Record 3
A geometry-optimized TlSbTeI2 structure, computed with GGA-PBEsol.

## Properties
The energy above the lowest structure with this stoichiometry comes out at 0.000 eV per atom. The value obtained for the energy is -0.0968 Ha/atom. The value obtained for the uncorrected formation energy is 20.8 kJ/mol of atoms.

Geometry as POSCAR:
```
TlSbTeI2
1.0
-1.944 4.995 2.119
-3.362 -2.982 3.944
4.514 0.094 3.919
Te Tl I Sb
1 1 2 1
Cartesian
0.000 0.000 0.000 Te
-0.396 1.054 4.991 Tl
-1.681 -1.491 1.972 I
2.257 0.047 1.960 I
-0.972 2.498 1.060 Sb
```


Record 4
A geometry-optimized MnBe2Al structure, computed with GGA-PBEsol.

## Properties
The value obtained for the energy is -0.1986 Ha/atom. The value obtained for the energy of formation from the pure elements is 0.2 eV per formula unit.

Geometry as POSCAR:
```
MnBe2Al
1.0
-2.124 -0.869 0.690
-0.454 -1.646 -3.468
2.567 -3.488 1.320
Al Be Mn
1 2 1
Cartesian
1.057 -2.567 -1.074 Al
0.031 -0.955 0.449 Be
0.413 -3.402 1.561 Be
-1.289 -1.258 -1.389 Mn
```